Entry 1:
NdSm6Cd | PBE-GGA | optimized geometry

POSCAR file:
```
NdSm6Cd
1.0
5.010 0.000 0.000
0.000 5.010 0.000
0.000 0.000 10.225
Nd Sm Cd
1 6 1
Cartesian
0.000 0.000 0.000
0.000 2.505 2.628
0.000 2.505 7.597
2.505 0.000 2.628
2.505 0.000 7.597
2.505 2.505 0.000
2.505 2.505 5.113
0.000 0.000 5.113
```

Total moment (μB per formula unit): 0.00
Energy relative to the elements (eV/atom): -0.030

Entry 2:
CuSn4Rh7 | PBE-GGA | optimized geometry

POSCAR file:
```
CuSn4Rh7
1.0
6.292 -2.301 0.000
6.292 2.301 0.000
-5.620 0.000 7.467
Cu Sn Rh
1 4 7
Cartesian
0.000 0.000 0.000
-0.196 0.000 4.943
4.085 0.000 1.593
2.878 0.000 5.874
7.159 0.000 2.525
-0.809 0.000 2.346
-2.245 0.000 6.498
2.061 0.000 3.298
6.292 0.000 0.000
4.902 0.000 4.169
9.208 0.000 0.969
7.772 0.000 5.122
```

Total moment (μB per formula unit): 0.00
Energy relative to the elements (eV/atom): -0.118

Entry 3:
InGeIN2 | PBE-GGA | optimized geometry

POSCAR file:
```
InGeIN2
1.0
4.343 0.000 0.000
0.000 4.343 0.000
0.000 0.000 6.298
In Ge I N
1 1 1 2
Cartesian
0.000 0.000 0.000
2.171 2.171 3.149
0.000 0.000 3.149
0.000 2.171 0.000
2.171 0.000 0.000
```

E_form (uncorrected) (eV per atom): 1.481
Total moment (μB per formula unit): 1.99

Entry 4:
Pm2Ga6CuPt | PBE-GGA | optimized geometry

POSCAR file:
```
Pm2Ga6CuPt
1.0
3.146 1.816 11.598
-3.146 1.816 11.598
0.000 -3.632 11.598
Pm Ga Cu Pt
4 12 2 2
Cartesian
0.000 0.000 3.743
0.000 0.000 9.791
0.000 0.000 25.002
0.000 0.000 31.050
-1.858 -1.073 16.231
0.000 -1.569 12.769
-1.359 0.785 12.769
0.000 -2.145 18.561
-1.858 1.073 18.561
-1.359 -0.785 22.023
1.359 0.785 12.769
1.858 -1.073 16.231
0.000 2.145 16.231
1.359 -0.785 22.023
0.000 1.569 22.023
1.858 1.073 18.561
0.000 0.000 0.000
0.000 0.000 17.396
0.000 0.000 14.787
0.000 0.000 20.005
```

Total moment (μB per formula unit): 0.00
Energy relative to the elements (eV/atom): -0.456

Entry 5:
LiSmMgAu | PBE-GGA | optimized geometry

POSCAR file:
```
LiSmMgAu
1.0
0.000 3.501 3.501
3.501 0.000 3.501
3.501 3.501 0.000
Li Sm Mg Au
1 1 1 1
Cartesian
0.000 0.000 0.000
5.252 5.252 5.252
1.751 1.751 1.751
3.501 3.501 3.501
```

Total moment (μB per formula unit): 0.00
Energy relative to the elements (eV/atom): -0.449

Entry 6:
CuPd12Pt3 | PBE-GGA | optimized geometry

POSCAR file:
```
CuPd12Pt3
1.0
3.938 0.000 0.000
0.000 3.938 0.000
0.000 0.000 15.745
Cu Pd Pt
1 12 3
Cartesian
0.000 0.000 0.000
0.000 1.969 1.899
0.000 1.969 5.885
0.000 1.969 9.860
0.000 1.969 13.846
1.969 0.000 1.899
1.969 0.000 5.885
1.969 0.000 9.860
1.969 0.000 13.846
1.969 1.969 0.000
1.969 1.969 3.878
1.969 1.969 7.873
1.969 1.969 11.867
0.000 0.000 3.913
0.000 0.000 7.873
0.000 0.000 11.832
```

Total moment (μB per formula unit): 0.03
Energy relative to the elements (eV/atom): -0.025

Entry 7:
Sr2CaCdIr | PBE-GGA | optimized geometry

POSCAR file:
```
Sr2CaCdIr
1.0
5.817 0.000 0.000
0.000 5.817 0.000
0.000 0.000 5.483
Sr Ca Cd Ir
2 1 1 1
Cartesian
0.000 2.908 0.000
2.908 0.000 0.000
0.000 0.000 2.742
2.908 2.908 2.742
0.000 0.000 0.000
```

Total moment (μB per formula unit): 0.00
Energy relative to the elements (eV/atom): -0.168

Entry 8:
Cs2RbNaCl | PBE-GGA | optimized geometry

POSCAR file:
```
Cs2RbNaCl
1.0
6.828 0.000 0.000
0.000 6.828 0.000
0.000 0.000 7.243
Cs Rb Na Cl
2 1 1 1
Cartesian
0.000 3.414 0.000
3.414 0.000 0.000
0.000 0.000 3.622
3.414 3.414 3.622
3.414 3.414 0.000
```

E_form (uncorrected) (eV per atom): -0.641
Total moment (μB per formula unit): 0.37